# Ca2GaPd3 GGA-PBE optimized geometry
# Energy relative to the lowest polymorph listed for this composition: 306 meV per atom
# Energy relative to the elements: -11.07 kcal/mol of atoms
# Spin magnetization: 0.00 μB per formula unit
# Density of states at the Fermi level: 2.59 states/eV/f.u.
data_Ca2GaPd3
_chemical_formula_sum 'Ca4 Ga2 Pd6'
_space_group_name_H-M_alt 'I m m m'
_space_group_IT_number 71
_space_group_name_Hall '-I 2 2'
_cell_length_a 4.337
_cell_length_b 5.443
_cell_length_c 11.080
_cell_angle_alpha 90.00
_cell_angle_beta 90.00
_cell_angle_gamma 90.00
loop_
_atom_site_label
_atom_site_type_symbol
_atom_site_fract_x
_atom_site_fract_y
_atom_site_fract_z
Ca1 Ca 0.000 0.000 0.186
Ga1 Ga 0.000 0.000 0.500
Pd1 Pd 0.000 0.500 0.121
Pd2 Pd 0.000 0.500 0.500